Here is BaGaBi after structural relaxation from Alexandria. Energies are from PBE.

Cell lengths 5.319, 4.768, 4.768 Å; angles 120.00, 90.00, 90.00 degrees
Fractional positions:
Ba 0.695 0.667 0.333
Ga 0.048 0.000 0.000
Bi 0.257 0.333 0.667

- total moment (Bohr magnetons per cell) = 0.000
- E_form (eV/atom) = -0.6023
- space group = P3m1
- E above lowest polymorph (eV/atom) = 0.0000
- DFT total energy (eV/atom) = -3.5459
- DOS(E_F) (states/eV/f.u.) = 0.020
- crystal system = trigonal


Here is Na2Cu2Pd5Au after structural relaxation from Alexandria. Energies are from PBE.

Cell lengths 4.032, 9.145, 9.145 Å; angles 90.00, 90.00, 90.00 degrees
Fractional positions:
Au 0.000 0.500 0.500
Au 0.000 0.000 0.000
Na 0.000 0.323 0.823
Na 0.000 0.177 0.323
Na 0.000 0.823 0.677
Na 0.000 0.677 0.177
Pd 0.500 0.793 0.930
Pd 0.500 0.207 0.070
Pd 0.500 0.930 0.207
Pd 0.500 0.570 0.707
Pd 0.500 0.500 0.000
Pd 0.500 0.070 0.793
Pd 0.500 0.430 0.293
Pd 0.500 0.000 0.500
Pd 0.500 0.707 0.430
Pd 0.500 0.293 0.570
Cu 0.000 0.880 0.380
Cu 0.000 0.380 0.120
Cu 0.000 0.620 0.880
Cu 0.000 0.120 0.620

- total moment (Bohr magnetons per cell) = 0.000
- E_form (eV/atom) = -0.0508
- space group = P4/mbm
- DFT total energy (eV/atom) = -4.0580
- DOS(E_F) (states/eV/f.u.) = 9.360
- crystal system = tetragonal


Here is CaCe2Rh2 after structural relaxation from Alexandria. Energies are from PBE.

Cell lengths 6.096, 6.278, 8.129 Å; angles 70.70, 66.17, 61.88 degrees
Fractional positions:
Rh 0.740 0.152 0.019
Rh 0.246 0.749 0.501
Rh 0.260 0.848 0.981
Rh 0.754 0.251 0.499
Ce 0.549 0.501 0.209
Ce 0.805 0.850 0.814
Ce 0.195 0.150 0.186
Ce 0.451 0.499 0.791
Ca 0.189 0.214 0.641
Ca 0.811 0.786 0.359

- total moment (Bohr magnetons per cell) = 2.289
- E_form (eV/atom) = -0.5258
- space group = P-1
- E above lowest polymorph (eV/atom) = 0.0165
- DFT total energy (eV/atom) = -6.2403
- DOS(E_F) (states/eV/f.u.) = 9.707
- crystal system = triclinic


Here is BAsSCl2 after structural relaxation from Alexandria. Energies are from PBE.

Cell lengths 4.192, 4.192, 4.643 Å; angles 90.00, 90.00, 90.00 degrees
Fractional positions:
As 0.500 0.500 0.500
B 0.000 0.000 0.000
S 0.000 0.000 0.500
Cl 0.000 0.500 0.000
Cl 0.500 0.000 0.000

- E_form (uncorrected) (eV per atom) = 0.609
- total moment (Bohr magnetons per cell) = 0.000
- space group = P4/mmm
- E above lowest polymorph (eV/atom) = 0.0000
- DFT total energy (eV/atom) = -3.2208
- DOS(E_F) (states/eV/f.u.) = 1.861
- crystal system = tetragonal


Here is LiTmZrPt after structural relaxation from Alexandria. Energies are from PBE.

Cell lengths 4.810, 4.810, 4.810 Å; angles 60.00, 60.00, 60.00 degrees
Fractional positions:
Tm 0.500 0.500 0.500
Li 0.750 0.750 0.750
Pt 0.250 0.250 0.250
Zr 0.000 0.000 0.000

- total moment (Bohr magnetons per cell) = 0.000
- E_form (eV/atom) = -0.5423
- space group = F-43m
- DFT total energy (eV/atom) = -5.7858
- DOS(E_F) (states/eV/f.u.) = 2.971
- crystal system = cubic


Here is NaCa2Al4H8C4ClO20 after structural relaxation from Alexandria. Energies are from PBE.

Cell lengths 6.616, 11.334, 11.334 Å; angles 90.00, 90.00, 90.00 degrees
Fractional positions:
H 0.586 0.871 0.629
H 0.264 0.500 0.306
H 0.586 0.871 0.371
H 0.414 0.371 0.129
H 0.736 0.000 0.806
H 0.736 0.306 0.500
H 0.414 0.371 0.871
H 0.264 0.194 0.000
H 0.586 0.129 0.629
H 0.414 0.629 0.129
H 0.586 0.129 0.371
H 0.264 0.500 0.694
H 0.264 0.806 0.000
H 0.736 0.694 0.500
H 0.414 0.629 0.871
H 0.736 0.000 0.194
O 0.609 0.190 0.310
O 0.980 0.785 0.500
O 0.240 0.900 0.789
O 0.609 0.810 0.310
O 0.391 0.310 0.810
O 0.020 0.500 0.785
O 0.240 0.900 0.211
O 0.601 0.000 0.158
O 0.240 0.711 0.600
O 0.391 0.690 0.810
O 0.760 0.600 0.711
O 0.760 0.211 0.100
O 0.760 0.211 0.900
O 0.980 0.000 0.715
O 0.240 0.289 0.400
O 0.399 0.842 0.000
O 0.609 0.810 0.690
O 0.601 0.342 0.500
O 0.760 0.789 0.900
O 0.391 0.310 0.190
O 0.240 0.100 0.789
O 0.240 0.289 0.600
O 0.760 0.400 0.711
O 0.399 0.500 0.658
O 0.391 0.690 0.190
O 0.240 0.100 0.211
O 0.020 0.715 0.000
O 0.399 0.158 0.000
O 0.760 0.600 0.289
O 0.980 0.215 0.500
O 0.601 0.658 0.500
O 0.240 0.711 0.400
O 0.980 0.000 0.285
O 0.760 0.400 0.289
O 0.760 0.789 0.100
O 0.399 0.500 0.342
O 0.020 0.500 0.215
O 0.601 0.000 0.842
O 0.020 0.285 0.000
O 0.609 0.190 0.690
C 0.155 0.000 0.236
C 0.155 0.264 0.500
C 0.845 0.500 0.736
C 0.155 0.736 0.500
C 0.845 0.500 0.264
C 0.155 0.000 0.764
C 0.845 0.236 0.000
C 0.845 0.764 0.000
Al 0.500 0.345 0.655
Al 0.500 0.655 0.655
Al 0.500 0.845 0.845
Al 0.500 0.345 0.345
Al 0.500 0.845 0.155
Al 0.500 0.655 0.345
Al 0.500 0.155 0.155
Al 0.500 0.155 0.845
Ca 0.000 0.750 0.250
Ca 0.000 0.750 0.750
Ca 0.000 0.250 0.750
Ca 0.000 0.250 0.250
Na 0.928 0.000 0.500
Na 0.072 0.500 0.000
Cl 0.504 0.000 0.500
Cl 0.496 0.500 0.000

- total moment (Bohr magnetons per cell) = 0.000
- space group = P4/nmm
- DFT total energy (eV/atom) = -6.5716
- DOS(E_F) (states/eV/f.u.) = 0.000
- crystal system = tetragonal


Here is PrNdAlTl after structural relaxation from Alexandria. Energies are from PBE.

Cell lengths 5.431, 5.431, 5.431 Å; angles 60.00, 60.00, 60.00 degrees
Fractional positions:
Al 0.500 0.500 0.500
Tl 0.000 0.000 0.000
Pr 0.250 0.250 0.250
Nd 0.750 0.750 0.750

- total moment (Bohr magnetons per cell) = 0.000
- E_form (eV/atom) = -0.3431
- space group = F-43m
- E above lowest polymorph (eV/atom) = 0.0200
- DFT total energy (eV/atom) = -4.2572
- DOS(E_F) (states/eV/f.u.) = 1.595
- crystal system = cubic


Here is MgTl2As2Pd7 after structural relaxation from Alexandria. Energies are from PBE.

Cell lengths 4.004, 4.004, 14.460 Å; angles 85.15, 85.15, 89.81 degrees
Fractional positions:
Pd 0.603 0.603 0.588
Pd 0.397 0.397 0.412
Pd 0.500 0.500 0.000
Pd 0.542 0.043 0.860
Pd 0.957 0.458 0.140
Pd 0.458 0.957 0.140
Pd 0.043 0.542 0.860
Mg 0.000 0.000 0.000
Tl 0.105 0.105 0.601
Tl 0.895 0.895 0.399
As 0.572 0.572 0.760
As 0.428 0.428 0.240

- total moment (Bohr magnetons per cell) = 0.000
- E_form (eV/atom) = -0.3390
- space group = C2/m
- DFT total energy (eV/atom) = -4.6703
- DOS(E_F) (states/eV/f.u.) = 4.185
- crystal system = monoclinic